A plane-wave DFT calculation with PBE was carried out for crystalline Nd15Tl4In at its relaxed geometry.

## Properties
As for the total DFT energy (no corrections): -4.41 eV per atom. As for the crystal system: tetragonal. The value obtained for the energy of formation is -0.219 eV/atom. The magnetic moment comes out at 0.00 μB per cell.

Unit cell a=4.985 b=4.985 c=25.076 alpha=90.00 beta=90.00 gamma=90.00
Element x y z (fractional)
Nd (0.000, 0.500, 0.099)
Nd (0.500, 0.000, 0.099)
Nd (0.000, 0.500, 0.901)
Nd (0.000, 0.500, 0.300)
Nd (0.500, 0.500, 0.800)
Nd (0.500, 0.000, 0.300)
Nd (0.500, 0.500, 0.200)
Nd (0.500, 0.000, 0.901)
Nd (0.500, 0.500, 0.000)
Nd (0.500, 0.000, 0.500)
Nd (0.500, 0.000, 0.700)
Nd (0.000, 0.500, 0.700)
Nd (0.000, 0.500, 0.500)
Nd (0.500, 0.500, 0.600)
Nd (0.500, 0.500, 0.400)
Tl (0.000, 0.000, 0.400)
Tl (0.000, 0.000, 0.800)
Tl (0.000, 0.000, 0.600)
Tl (0.000, 0.000, 0.200)
In (0.000, 0.000, 0.000)

***

A plane-wave DFT calculation with PBE was carried out for crystalline Nd6Tl2In at its relaxed geometry.

## Properties
As for the total DFT energy (no corrections): -4.30 eV per atom. As for the crystal system: hexagonal. The value obtained for the energy of formation is -0.288 eV/atom. The magnetic moment comes out at 0.00 μB per cell.

Unit cell a=3.858 b=9.231 c=9.231 alpha=120.00 beta=90.00 gamma=90.00
Element x y z (fractional)
Tl (0.000, 0.333, 0.667)
Tl (0.000, 0.667, 0.333)
Nd (0.500, 0.615, 0.615)
Nd (0.000, 0.286, 0.286)
Nd (0.000, 0.714, 0.000)
Nd (0.500, 0.000, 0.385)
Nd (0.500, 0.385, 0.000)
Nd (0.000, 0.000, 0.714)
In (0.500, 0.000, 0.000)

***

A plane-wave DFT calculation with PBE was carried out for crystalline Nd4Tl3In at its relaxed geometry.

## Properties
As for the total DFT energy (no corrections): -3.98 eV per atom. As for the crystal system: orthorhombic. The value obtained for the energy of formation is -0.371 eV/atom. The magnetic moment comes out at 0.00 μB per cell.

Unit cell a=4.700 b=4.502 c=11.907 alpha=90.00 beta=90.00 gamma=90.00
Element x y z (fractional)
Tl (0.000, 0.000, 0.411)
Tl (0.000, 0.500, 0.590)
Tl (0.500, 0.000, 0.913)
Nd (0.000, 0.500, 0.865)
Nd (0.000, 0.000, 0.137)
Nd (0.500, 0.000, 0.637)
Nd (0.500, 0.500, 0.362)
In (0.500, 0.500, 0.084)

***

Among the records above, which one has the lowest energy of formation?
Nd4Tl3In

***

What did the third record say?
A plane-wave DFT calculation with PBE was carried out for crystalline Nd4Tl3In at its relaxed geometry.

## Properties
As for the total DFT energy (no corrections): -3.98 eV per atom. As for the crystal system: orthorhombic. The value obtained for the energy of formation is -0.371 eV/atom. The magnetic moment comes out at 0.00 μB per cell.

Unit cell a=4.700 b=4.502 c=11.907 alpha=90.00 beta=90.00 gamma=90.00
Element x y z (fractional)
Tl (0.000, 0.000, 0.411)
Tl (0.000, 0.500, 0.590)
Tl (0.500, 0.000, 0.913)
Nd (0.000, 0.500, 0.865)
Nd (0.000, 0.000, 0.137)
Nd (0.500, 0.000, 0.637)
Nd (0.500, 0.500, 0.362)
In (0.500, 0.500, 0.084)